(1)
Material: RbBHS3
Method: DFT, PBE
State: optimized geometry

Computed properties:
Space-group type: C2/m, No. 12
Raw total energy, eV per atom: -4.360
Fermi-level density of states, states/eV per cell: 1.102
Crystal system: monoclinic
Theoretical density, Mg/m³: 1.80

Cell lengths 7.076, 7.076, 8.219 Å; angles 90.38, 90.38, 60.04 degrees
Fractional positions:
S 0.855 0.318 0.649
S 0.238 0.238 0.858
S 0.145 0.682 0.351
S 0.682 0.145 0.351
S 0.318 0.855 0.649
S 0.762 0.762 0.142
B 0.868 0.868 0.290
B 0.132 0.132 0.710
Rb 0.823 0.823 0.742
Rb 0.177 0.177 0.258
H 0.210 0.790 0.500
H 0.790 0.210 0.500

(2)
Material: NaAcAgF6
Method: DFT, PBE
State: optimized geometry

Computed properties:
Space-group type: P312, No. 149
Raw total energy, eV per atom: -4.956
Fermi-level density of states, states/eV per cell: 6.492
Crystal system: trigonal
Theoretical density, Mg/m³: 5.00

Cell lengths 5.438, 5.768, 5.768 Å; angles 120.00, 90.00, 90.00 degrees
Last column: magnetic moment on the atom in μB.
Fractional positions:
Ag 0.500 0.667 0.333  0.56
F 0.733 0.669 0.659  0.07
F 0.267 0.989 0.659  0.07
F 0.267 0.341 0.331  0.07
F 0.733 0.989 0.331  0.07
F 0.733 0.341 0.011  0.07
F 0.267 0.669 0.011  0.07
Ac 0.000 0.333 0.667  0.01
Na 0.500 0.000 0.000  0.00

(3)
Material: LiBiSb2
Method: DFT, PBE
State: optimized geometry

Computed properties:
Space-group type: R-3m, No. 166
Raw total energy, eV per atom: -3.566
Fermi-level density of states, states/eV per cell: 2.507
Crystal system: trigonal
Theoretical density, Mg/m³: 7.00

Cell lengths 4.462, 4.462, 6.822 Å; angles 70.91, 70.91, 60.00 degrees
Fractional positions:
Sb 0.268 0.268 0.195
Sb 0.732 0.732 0.805
Li 0.000 0.000 0.000
Bi 0.500 0.500 0.500

(4)
Material: SiAsP2O
Method: DFT, PBE
State: optimized geometry

Computed properties:
Space-group type: P4/mmm, No. 123
Fermi-level density of states, states/eV per cell: 1.143
Crystal system: tetragonal
Theoretical density, Mg/m³: 4.05
Distance to the lowest polymorph of the same formula, eV per formula unit: 0.00

Cell lengths 4.718, 4.718, 3.335 Å; angles 90.00, 90.00, 90.00 degrees
Fractional positions:
O 0.000 0.000 0.500
As 0.500 0.500 0.500
P 0.000 0.500 0.000
P 0.500 0.000 0.000
Si 0.000 0.000 0.000

(5)
Material: Rb2NpHg2Br6
Method: DFT, PBE
State: optimized geometry

Computed properties:
Space-group type: C2/m, No. 12
Raw total energy, eV per atom: -3.525
Fermi-level density of states, states/eV per cell: 4.954
Crystal system: monoclinic
Theoretical density, Mg/m³: 4.47

Cell lengths 7.906, 9.827, 8.404 Å; angles 123.31, 90.00, 113.72 degrees
Last column: magnetic moment on the atom in μB.
Fractional positions:
Br 0.644 0.287 0.465  -0.04
Br 0.160 0.813 0.204  -0.03
Br 0.652 0.813 0.204  -0.03
Br 0.840 0.187 0.796  -0.03
Br 0.356 0.713 0.535  -0.04
Br 0.348 0.187 0.796  -0.03
Hg 0.904 0.807 0.781  -0.01
Hg 0.096 0.193 0.219  -0.01
Rb 0.749 0.498 0.220  0.00
Rb 0.251 0.502 0.780  0.00
Np 0.500 0.000 0.500  3.22

(6)
Material: Y2Mo
Method: DFT, PBE
State: optimized geometry

Computed properties:
Space-group type: Pa-3, No. 205
Fermi-level density of states, states/eV per cell: 18.661
Crystal system: cubic
Energy of formation from the pure elements, eV/atom: 0.702
Theoretical density, Mg/m³: 5.32
Distance to the lowest polymorph of the same formula, eV per formula unit: 1.67

Cell lengths 6.991, 6.991, 6.991 Å; angles 90.00, 90.00, 90.00 degrees
Last column: magnetic moment on the atom in μB.
Fractional positions:
Y 0.332 0.168 0.832  0.05
Y 0.332 0.332 0.332  0.05
Y 0.832 0.168 0.668  0.05
Y 0.668 0.668 0.668  0.05
Y 0.832 0.332 0.168  0.05
Y 0.668 0.832 0.168  0.05
Y 0.168 0.832 0.332  0.05
Y 0.168 0.668 0.832  0.05
Mo 0.000 0.000 0.000  1.34
Mo 0.500 0.000 0.500  1.34
Mo 0.500 0.500 0.000  1.34
Mo 0.000 0.500 0.500  1.34

(7)
Material: Al2ZnIr
Method: DFT, PBE
State: optimized geometry

Computed properties:
Space-group type: C2/m, No. 12
Fermi-level density of states, states/eV per cell: 1.330
Crystal system: monoclinic
Energy of formation from the pure elements, eV/atom: -0.376
Theoretical density, Mg/m³: 8.76

Cell lengths 4.596, 4.596, 4.725 Å; angles 81.00, 81.00, 36.84 degrees
Fractional positions:
Zn 0.750 0.750 0.750
Al 0.510 0.510 0.483
Al 0.990 0.990 0.017
Ir 0.250 0.250 0.250

(8)
Material: AlFeS2Cl
Method: DFT, PBE
State: optimized geometry

Computed properties:
Space-group type: P4/mmm, No. 123
Fermi-level density of states, states/eV per cell: 5.745
Crystal system: tetragonal
Theoretical density, Mg/m³: 3.06
Distance to the lowest polymorph of the same formula, eV per formula unit: 0.05

Cell lengths 4.664, 4.664, 4.550 Å; angles 90.00, 90.00, 90.00 degrees
Last column: magnetic moment on the atom in μB.
Fractional positions:
Cl 0.000 0.000 0.500  0.04
S 0.000 0.500 0.000  0.10
S 0.500 0.000 0.000  0.10
Al 0.000 0.000 0.000  0.00
Fe 0.500 0.500 0.500  3.43

(9)
Material: Pr2ThIr9
Method: DFT, PBE
State: optimized geometry

Computed properties:
Space-group type: R-3m, No. 166
Fermi-level density of states, states/eV per cell: 11.753
Crystal system: trigonal
Energy of formation from the pure elements, eV/atom: -0.559
Theoretical density, Mg/m³: 16.69

Cell lengths 5.379, 5.379, 9.437 Å; angles 73.44, 73.44, 60.00 degrees
Fractional positions:
Ir 0.421 0.421 0.242
Ir 0.579 0.083 0.758
Ir 0.500 0.500 0.500
Ir 0.421 0.917 0.242
Ir 0.917 0.421 0.242
Ir 0.668 0.668 0.997
Ir 0.579 0.579 0.758
Ir 0.083 0.579 0.758
Ir 0.332 0.332 0.003
Th 0.000 0.000 0.000
Pr 0.860 0.860 0.421
Pr 0.140 0.140 0.579

(10)
Material: MgGeOF2
Method: DFT, PBE
State: optimized geometry

Computed properties:
Space-group type: P4/mmm, No. 123
Fermi-level density of states, states/eV per cell: 1.764
Crystal system: tetragonal
Theoretical density, Mg/m³: 3.41
Distance to the lowest polymorph of the same formula, eV per formula unit: 3.09

Cell lengths 4.345, 4.345, 3.898 Å; angles 90.00, 90.00, 90.00 degrees
Fractional positions:
F 0.500 0.000 0.000
F 0.000 0.500 0.000
Ge 0.000 0.000 0.000
O 0.000 0.000 0.500
Mg 0.500 0.500 0.500

(11)
Material: MnCoIr
Method: DFT, PBE
State: optimized geometry

Computed properties:
Space-group type: P3m1, No. 156
Fermi-level density of states, states/eV per cell: 4.304
Crystal system: trigonal
Energy of formation from the pure elements, eV/atom: 0.072
Theoretical density, Mg/m³: 13.77
Distance to the lowest polymorph of the same formula, eV per formula unit: 0.40

Cell lengths 2.620, 2.620, 6.209 Å; angles 90.00, 90.00, 120.00 degrees
Last column: magnetic moment on the atom in μB.
Fractional positions:
Co 0.000 0.000 0.986  1.05
Mn 0.333 0.667 0.675  0.79
Ir 0.667 0.333 0.339  -0.04

(12)
Material: Si2AsO
Method: DFT, PBE
State: optimized geometry

Computed properties:
Space-group type: Fm-3m, No. 225
Fermi-level density of states, states/eV per cell: 1.860
Crystal system: cubic
Theoretical density, Mg/m³: 4.51
Distance to the lowest polymorph of the same formula, eV per formula unit: 2.11

Cell lengths 4.248, 4.248, 4.248 Å; angles 60.00, 60.00, 60.00 degrees
Fractional positions:
Si 0.250 0.250 0.250
Si 0.750 0.750 0.750
As 0.500 0.500 0.500
O 0.000 0.000 0.000

(13)
Material: Ce2MnPd9
Method: DFT, PBE
State: optimized geometry

Computed properties:
Space-group type: P4/mmm, No. 123
Fermi-level density of states, states/eV per cell: 5.733
Crystal system: tetragonal
Energy of formation from the pure elements, eV/atom: -0.630
Theoretical density, Mg/m³: 10.53

Cell lengths 4.106, 4.106, 12.095 Å; angles 90.00, 90.00, 90.00 degrees
Last column: magnetic moment on the atom in μB.
Fractional positions:
Mn 0.000 0.000 0.000  4.04
Pd 0.500 0.000 0.500  -0.02
Pd 0.500 0.500 0.329  -0.01
Pd 0.500 0.500 0.000  0.08
Pd 0.500 0.000 0.158  0.04
Pd 0.500 0.500 0.671  -0.01
Pd 0.000 0.500 0.842  0.04
Pd 0.000 0.500 0.158  0.04
Pd 0.000 0.500 0.500  -0.02
Pd 0.500 0.000 0.842  0.04
Ce 0.000 0.000 0.677  0.17
Ce 0.000 0.000 0.323  0.17

(14)
Material: Ho8TmHg2
Method: DFT, PBE
State: optimized geometry

Computed properties:
Space-group type: C2/m, No. 12
Fermi-level density of states, states/eV per cell: 15.170
Crystal system: monoclinic
Energy of formation from the pure elements, eV/atom: -0.045
Theoretical density, Mg/m³: 9.41

Cell lengths 5.471, 8.598, 8.598 Å; angles 118.38, 100.34, 100.34 degrees
Fractional positions:
Tm 0.500 0.000 0.000
Ho 0.300 0.604 0.604
Ho 0.500 0.776 0.224
Ho 0.894 0.680 0.909
Ho 0.894 0.909 0.680
Ho 0.700 0.396 0.396
Ho 0.106 0.320 0.091
Ho 0.500 0.224 0.776
Ho 0.106 0.091 0.320
Hg 0.000 0.307 0.693
Hg 0.000 0.693 0.307

(15)
Material: TaIn2P
Method: DFT, PBE
State: optimized geometry

Computed properties:
Space-group type: Cmmm, No. 65
Fermi-level density of states, states/eV per cell: 1.640
Crystal system: orthorhombic
Energy of formation from the pure elements, eV/atom: 0.434
Theoretical density, Mg/m³: 9.22

Cell lengths 3.036, 3.036, 8.855 Å; angles 90.00, 90.00, 103.04 degrees
Fractional positions:
In 0.000 0.000 0.495
In 0.000 0.000 0.005
Ta 0.500 0.500 0.750
P 0.500 0.500 0.250

(16)
Material: CePuInPb
Method: DFT, PBE
State: optimized geometry

Computed properties:
Space-group type: Pmmm, No. 47
Fermi-level density of states, states/eV per cell: 11.996
Crystal system: orthorhombic
Energy of formation from the pure elements, eV/atom: -0.295
Theoretical density, Mg/m³: 10.60
Distance to the lowest polymorph of the same formula, eV per formula unit: 0.00

Cell lengths 4.827, 4.806, 4.767 Å; angles 90.00, 90.00, 90.00 degrees
Last column: magnetic moment on the atom in μB.
Fractional positions:
In 0.000 0.000 0.000  -0.03
Ce 0.500 0.000 0.500  0.91
Pu 0.000 0.500 0.500  5.57
Pb 0.500 0.500 0.000  -0.06

(17)
Material: Na2HoPb6
Method: DFT, PBE
State: optimized geometry

Computed properties:
Space-group type: C2/c, No. 15
Fermi-level density of states, states/eV per cell: 7.368
Crystal system: monoclinic
Energy of formation from the pure elements, eV/atom: -0.104
Theoretical density, Mg/m³: 8.72

Cell lengths 7.390, 8.713, 8.713 Å; angles 98.17, 93.02, 93.02 degrees
Fractional positions:
Pb 0.796 0.457 0.056
Pb 0.882 0.030 0.245
Pb 0.296 0.056 0.457
Pb 0.704 0.944 0.543
Pb 0.983 0.285 0.660
Pb 0.118 0.970 0.755
Pb 0.517 0.340 0.715
Pb 0.483 0.660 0.285
Pb 0.618 0.755 0.970
Pb 0.382 0.245 0.030
Pb 0.017 0.715 0.340
Pb 0.204 0.543 0.944
Na 0.641 0.318 0.364
Na 0.859 0.636 0.682
Na 0.141 0.364 0.318
Na 0.359 0.682 0.636
Ho 0.750 0.095 0.905
Ho 0.250 0.905 0.095

(18)
Material: TaVSn
Method: DFT, PBE
State: optimized geometry

Computed properties:
Space-group type: I4mm, No. 107
Fermi-level density of states, states/eV per cell: 1.600
Crystal system: tetragonal
Energy of formation from the pure elements, eV/atom: -0.008
Theoretical density, Mg/m³: 10.97

Cell lengths 3.424, 3.424, 5.134 Å; angles 109.48, 109.48, 90.00 degrees
Fractional positions:
Sn 0.003 0.003 0.006
V 0.677 0.677 0.354
Ta 0.320 0.320 0.639

(19)
Material: Ce4SiSe2
Method: DFT, PBE
State: optimized geometry

Computed properties:
Space-group type: I4_1/amd, No. 141
Raw total energy, eV per atom: -6.215
Fermi-level density of states, states/eV per cell: 52.243
Crystal system: tetragonal
Theoretical density, Mg/m³: 6.28

Cell lengths 8.003, 8.003, 8.005 Å; angles 108.68, 108.65, 111.08 degrees
Last column: magnetic moment on the atom in μB.
Fractional positions:
Ce 0.372 0.060 0.312  1.02
Ce 0.309 0.497 0.188  1.02
Ce 0.747 0.059 0.688  1.02
Ce 0.310 0.122 0.812  1.02
Ce 0.878 0.691 0.188  1.02
Ce 0.941 0.628 0.688  1.02
Ce 0.941 0.253 0.312  1.02
Ce 0.503 0.691 0.812  1.02
Se 0.625 0.375 0.250  -0.02
Se 0.125 0.375 0.750  -0.02
Se 0.625 0.875 0.250  -0.02
Se 0.625 0.375 0.750  -0.02
Si 0.250 0.750 0.500  -0.06
Si 0.000 0.000 0.000  -0.06

(20)
Material: Na2Ga3SnPt4
Method: DFT, PBE
State: optimized geometry

Computed properties:
Space-group type: P-4m2, No. 115
Fermi-level density of states, states/eV per cell: 3.882
Crystal system: tetragonal
Energy of formation from the pure elements, eV/atom: -0.550
Theoretical density, Mg/m³: 9.73

Cell lengths 4.259, 4.259, 10.859 Å; angles 90.00, 90.00, 90.00 degrees
Fractional positions:
Sn 0.500 0.500 0.500
Ga 0.000 0.000 0.500
Ga 0.500 0.000 0.871
Ga 0.000 0.500 0.129
Pt 0.500 0.000 0.643
Pt 0.000 0.500 0.357
Pt 0.000 0.000 0.000
Pt 0.500 0.500 0.000
Na 0.000 0.500 0.765
Na 0.500 0.000 0.235